K3Ga4Au | Alexandria | PBE | optimized geometry; energy of formation = -0.141 eV/atom
1.0
-1.085 0.546 -6.011
-0.085 -5.910 -0.522
-13.628 -0.022 2.458
Ga K Au
8 6 2
Direct
0.028 0.225 0.000
0.697 0.000 0.397
0.303 0.500 0.897
0.972 0.725 0.500
0.303 0.500 0.103
0.697 0.000 0.603
0.972 0.275 0.500
0.028 0.775 0.000
0.478 0.500 0.500
0.211 0.000 0.258
0.522 0.000 0.000
0.789 0.500 0.242
0.789 0.500 0.758
0.211 0.000 0.742
0.684 0.500 0.000
0.316 0.000 0.500

=====

KGa6Au12 | Alexandria | PBE | optimized geometry; ΔE to the lowest computed polymorph = 0 meV/atom; energy of formation = -0.172 eV/atom
1.0
-8.711 -1.901 -0.005
3.035 -6.844 -2.428
-0.368 -5.545 4.013
Au Ga K
12 6 1
Direct
0.562 0.764 0.953
0.668 0.542 0.354
0.852 0.051 0.517
0.148 0.369 0.101
0.242 0.722 0.216
0.442 0.102 0.725
0.852 0.631 0.899
0.558 0.898 0.275
0.332 0.458 0.646
0.758 0.278 0.784
0.148 0.949 0.483
0.438 0.236 0.047
0.348 0.341 0.351
0.949 0.470 0.325
0.326 0.773 0.727
0.674 0.227 0.273
0.652 0.659 0.649
0.051 0.530 0.675
0.000 0.000 0.000

=====

Q: What is the energy of formation in the first record?
A: -0.141 eV/atom